(1)
Below is a relaxed Ba7As4O crystal, with properties calculated at the PBE level.

abc: 9.089 9.089 12.147
angles: 126.19 126.19 35.36
Positions (direct):
Ba1 0.000 0.000 0.000
Ba2 0.140 0.140 0.532
Ba3 0.290 0.290 0.145
Ba4 0.429 0.429 0.750
Ba5 0.571 0.571 0.250
Ba6 0.710 0.710 0.855
Ba7 0.860 0.860 0.468
As1 0.082 0.082 0.788
As2 0.224 0.224 0.339
As3 0.776 0.776 0.661
As4 0.918 0.918 0.212
O1 0.500 0.500 0.000

## Properties
The formation energy from raw total energies comes out at -29.199 kcal/mol of atoms. Its symmetry is C2/m (12).

---

(2)
Below is a relaxed HoAlPd14 crystal, with properties calculated at the PBE level.

abc: 5.680 5.680 7.841
angles: 90.00 90.00 90.00
Positions (direct):
Ho1 0.000 0.000 0.000
Al1 0.500 0.500 0.000
Pd1 0.000 0.000 0.500
Pd2 0.000 0.500 0.000
Pd3 0.000 0.500 0.500
Pd4 0.255 0.255 0.249
Pd5 0.255 0.255 0.751
Pd6 0.255 0.745 0.249
Pd7 0.255 0.745 0.751
Pd8 0.500 0.000 0.000
Pd9 0.500 0.000 0.500
Pd10 0.500 0.500 0.500
Pd11 0.745 0.255 0.249
Pd12 0.745 0.255 0.751
Pd13 0.745 0.745 0.249
Pd14 0.745 0.745 0.751

## Properties
As for the density of states at the Fermi level: 1.62 states/eV per atom. Its energy of formation from the pure elements is -0.351 eV per atom. Its symmetry is P4/mmm (123).